A plane-wave DFT calculation with PBE was carried out for a relaxed CsK2Na2 crystal.

Cell and atoms, written as extended XYZ:
```
5
Lattice="5.6340 0.0000 0.0000 0.0000 7.8860 0.2121 -2.8170 -2.0554 7.6765" Properties=species:S:1:pos:R:3 pbc="T T T"
Na 2.8170 -0.0477 3.4495
K 0.0000 1.9593 5.5637
Cs 0.0000 0.0000 0.0000
K 2.8170 3.8714 2.3249
Na 0.0000 5.8784 4.4391
```

Calculated values
Symmetry: C2/m (12)
Calculated volume in Å³ per cell: 343.52
N(E_F) in states/eV/f.u.: 2.990
Offset from the most stable computed form in eV per atom: 0.013
E_tot in eV/atom: -1.101